LiZrMn | PBE | relaxed

a b c (Å): 4.4266 4.4266 4.4266
angles (deg): 60.00 60.00 60.00
Closest atoms and distances in Å follow each position.
Fractional positions:
Li 0.0000 0.0000 0.0000  4 Zr 2.71
Mn 0.5000 0.5000 0.5000  4 Zr 2.71
Zr 0.7500 0.7500 0.7500  4 Mn 2.71, 4 Li 2.71

total moment: 2.007 μB/f.u.
DOS at the Fermi energy: 4.084 states/eV/f.u.
E_form: 1.00 eV per atom
crystal system: cubic
polymorph energy (0 for the lowest one): 2.24 eV/f.u.
space-group type: F-43m (216)